# CeTaNb2O8

A geometry-optimized CeTaNb2O8 structure (PBE, Alexandria).

Properties
**Space-group type**: No. 65

Cell: 4.940 4.936 6.530 Å, 90.00 90.00 88.85°
Sites, in units of the cell vectors:
Nb: 0.500 0.500 0.235
Nb: 0.500 0.500 0.765
O: 0.710 0.711 0.000
O: 0.326 0.325 0.500
O: 0.290 0.289 0.000
O: 0.205 0.795 0.785
O: 0.205 0.795 0.215
O: 0.795 0.205 0.215
O: 0.674 0.675 0.500
O: 0.795 0.205 0.785
Ce: 0.000 0.000 0.500
Ta: 0.000 0.000 0.000

=====

# CeTi2NbO8

A geometry-optimized CeTi2NbO8 structure (PBE, Alexandria).

Properties
**Space-group type**: No. 12

Cell: 4.916 4.916 6.741 Å, 84.88 84.88 82.47°
Sites, in units of the cell vectors:
Ce: 0.000 0.000 0.500
Ti: 0.442 0.442 0.733
Ti: 0.558 0.558 0.267
O: 0.214 0.785 0.776
O: 0.785 0.214 0.776
O: 0.324 0.324 0.511
O: 0.270 0.270 0.954
O: 0.676 0.676 0.489
O: 0.730 0.730 0.046
O: 0.786 0.215 0.224
O: 0.215 0.786 0.224
Nb: 0.000 0.000 0.000

=====

# CeTiNbO6

A geometry-optimized CeTiNbO6 structure (PBE, Alexandria).

Properties
**Space-group type**: No. 163
**Energy above the lowest structure with this stoichiometry**: 31 meV per atom

Cell: 5.247 5.247 10.147 Å, 90.00 90.00 120.00°
Sites, in units of the cell vectors:
O: 0.634 0.639 0.642
O: 0.005 0.366 0.642
O: 0.361 0.995 0.642
O: 0.995 0.634 0.358
O: 0.361 0.366 0.858
O: 0.005 0.639 0.858
O: 0.995 0.361 0.142
O: 0.639 0.634 0.142
O: 0.634 0.995 0.858
O: 0.366 0.005 0.142
O: 0.366 0.361 0.358
O: 0.639 0.005 0.358
Ti: 0.667 0.333 0.250
Ti: 0.333 0.667 0.750
Ce: 0.000 0.000 0.500
Ce: 0.000 0.000 0.000
Nb: 0.667 0.333 0.750
Nb: 0.333 0.667 0.250

=====

# CeTiNbO6

A geometry-optimized CeTiNbO6 structure (PBE, Alexandria).

Properties
**Space-group type**: No. 33
**Energy above the lowest structure with this stoichiometry**: 0 meV per atom

Cell: 5.347 7.566 11.206 Å, 90.00 90.00 90.00°
Sites, in units of the cell vectors:
O: 0.664 0.753 0.382
O: 0.120 0.939 0.713
O: 0.264 0.540 0.474
O: 0.764 0.040 0.026
O: 0.053 0.247 0.857
O: 0.447 0.247 0.357
O: 0.336 0.253 0.618
O: 0.873 0.062 0.292
O: 0.553 0.747 0.643
O: 0.836 0.753 0.882
O: 0.880 0.439 0.287
O: 0.736 0.040 0.526
O: 0.164 0.253 0.118
O: 0.627 0.062 0.792
O: 0.236 0.540 0.974
O: 0.239 0.960 0.973
O: 0.380 0.939 0.213
O: 0.373 0.562 0.208
O: 0.127 0.562 0.708
O: 0.947 0.747 0.143
O: 0.620 0.439 0.787
O: 0.761 0.460 0.027
O: 0.739 0.460 0.527
O: 0.261 0.960 0.473
Ti: 0.532 0.993 0.360
Ti: 0.468 0.493 0.640
Ti: 0.032 0.493 0.140
Ti: 0.968 0.993 0.860
Nb: 0.962 0.507 0.853
Nb: 0.462 0.007 0.647
Nb: 0.038 0.007 0.147
Nb: 0.538 0.507 0.353
Ce: 0.954 0.750 0.543
Ce: 0.546 0.750 0.043
Ce: 0.046 0.250 0.457
Ce: 0.454 0.250 0.957

=====

# CeNbTlO5

A geometry-optimized CeNbTlO5 structure (PBE, Alexandria).

Properties
**Space-group type**: No. 15

Cell: 6.520 6.520 8.195 Å, 104.71 104.71 105.84°
Sites, in units of the cell vectors:
Nb: 0.314 0.686 0.750
Nb: 0.686 0.314 0.250
O: 0.226 0.385 0.600
O: 0.615 0.774 0.900
O: 0.706 0.123 0.389
O: 0.385 0.226 0.100
O: 0.939 0.061 0.750
O: 0.061 0.939 0.250
O: 0.294 0.877 0.611
O: 0.774 0.615 0.400
O: 0.123 0.706 0.889
O: 0.877 0.294 0.111
Tl: 0.319 0.681 0.250
Tl: 0.681 0.319 0.750
Ce: 0.000 0.000 0.500
Ce: 0.000 0.000 0.000

=====

Uncorrected energy? In order: -110.10, -106.49, -80.56, -80.84, -63.43 eV/f.u..